Computed, not measured: an optimized crystal structure of TmGa4PdRu2 at the PBE level of DFT.

Computed properties:
Calculated formation energy, eV/atom: -0.46
Crystal system: trigonal
Uncorrected energy, eV/atom: -5.505
SG: No. 166

Cell lengths 4.2748, 4.2748, 8.6584 Å; angles 75.71, 75.71, 60.00 degrees
Positions (direct):
Ga (0.6048, 0.6048, 0.1856)
Ga (0.8714, 0.8714, 0.3857)
Ga (0.3952, 0.3952, 0.8144)
Ga (0.1286, 0.1286, 0.6143)
Tm (0.0000, 0.0000, 0.0000)
Ru (0.2371, 0.2371, 0.2888)
Ru (0.7629, 0.7629, 0.7112)
Pd (0.5000, 0.5000, 0.5000)